1.
A plane-wave DFT calculation with PBE was carried out for a relaxed structure of TmRu2.

Values from the calculation:
volume	210	Å³/cell
energy relative to the elements	-379	meV per atom

abc: 5.2278 5.2278 8.8930
angles: 90.00 90.00 120.00
With the nearest neighbours (Å) after each atom.
Atoms (fractional coordinates):
Ru 0.8289 0.1711 0.2500  6 Ru 2.54-2.71
Ru 0.8289 0.6578 0.2500  6 Ru 2.54-2.71
Ru 0.6578 0.8289 0.7500  6 Ru 2.54-2.71
Ru 0.1711 0.8289 0.7500  6 Ru 2.54-2.71
Ru 0.0000 0.0000 0.0000  6 Ru 2.71
Ru 0.3422 0.1711 0.2500  6 Ru 2.54-2.71
Ru 0.1711 0.3422 0.7500  6 Ru 2.54-2.71
Ru 0.0000 0.0000 0.5000  6 Ru 2.71
Tm 0.3333 0.6667 0.0670  12 Ru 3.08-3.18, 4 Tm 3.25
Tm 0.6667 0.3333 0.9330  12 Ru 3.08-3.18, 4 Tm 3.25
Tm 0.6667 0.3333 0.5670  12 Ru 3.08-3.18, 4 Tm 3.25
Tm 0.3333 0.6667 0.4330  12 Ru 3.08-3.18, 4 Tm 3.25


2.
A plane-wave DFT calculation with PBE was carried out for a relaxed structure of Ac2Zn5Hg3.

Values from the calculation:
volume	467	Å³/cell
energy relative to the elements	-303	meV per atom

abc: 6.6230 9.1010 9.1010
angles: 72.38 68.66 68.66
With the nearest neighbours (Å) after each atom.
Atoms (fractional coordinates):
Ac 0.1240 0.6224 0.1297  10 Zn 3.42-3.66, 6 Hg 3.52-3.58
Ac 0.6240 0.1297 0.6224  10 Zn 3.42-3.66, 6 Hg 3.52-3.58
Ac 0.8760 0.3776 0.8703  10 Zn 3.42-3.66, 6 Hg 3.52-3.58
Ac 0.3760 0.8703 0.3776  10 Zn 3.42-3.66, 6 Hg 3.52-3.58
Zn 0.3655 0.2599 0.0090  2 Zn 2.57, 3 Hg 2.63-2.77
Zn 0.8655 0.0090 0.2599  2 Zn 2.57, 3 Hg 2.63-2.77
Zn 0.6345 0.7401 0.9910  2 Zn 2.57, 3 Hg 2.63-2.77
Zn 0.1345 0.9910 0.7401  2 Zn 2.57, 3 Hg 2.63-2.77
Zn 0.4942 0.7558 0.7558  2 Zn 2.57, 2 Hg 2.74
Zn 0.5058 0.2442 0.2442  2 Zn 2.57, 2 Hg 2.74
Zn 0.7500 0.5000 0.5000  4 Hg 2.73
Zn 0.2500 0.5000 0.5000  4 Hg 2.73
Zn 0.0058 0.2442 0.2442  2 Zn 2.57, 2 Hg 2.74
Zn 0.9942 0.7558 0.7558  2 Zn 2.57, 2 Hg 2.74
Hg 0.3728 0.4974 0.7570  5 Zn 2.63-2.74
Hg 0.8728 0.7570 0.4974  5 Zn 2.63-2.74
Hg 0.6272 0.5026 0.2430  5 Zn 2.63-2.74
Hg 0.1272 0.2430 0.5026  5 Zn 2.63-2.74
Hg 0.2500 0.0000 0.0000  4 Zn 2.77
Hg 0.7500 0.0000 0.0000  4 Zn 2.77


3.
A plane-wave DFT calculation with PBE was carried out for a relaxed structure of TiIr2C.

Values from the calculation:
volume	131	Å³/cell
energy relative to the elements	183	meV per atom

abc: 5.3077 5.3077 5.9708
angles: 63.61 63.61 90.00
With the nearest neighbours (Å) after each atom.
Atoms (fractional coordinates):
C 0.5000 0.5000 0.0000  4 Ir 1.97
C 0.2500 0.7500 0.5000  4 Ir 1.97
Ir 0.5405 0.1250 0.2500  2 C 1.97
Ir 0.2095 0.6250 0.2500  2 C 1.97
Ir 0.3750 0.4595 0.7500  2 C 1.97
Ir 0.8750 0.7905 0.7500  2 C 1.97
Ti 0.0000 0.0000 0.0000  4 Ir 2.50
Ti 0.7500 0.2500 0.5000  4 Ir 2.50


4.
A plane-wave DFT calculation with PBE was carried out for a relaxed structure of TbPaAg.

Values from the calculation:
volume	168	Å³/cell
energy relative to the elements	507	meV per atom

abc: 5.4360 3.9604 11.0901
angles: 80.32 75.81 46.66
With the nearest neighbours (Å) after each atom.
Atoms (fractional coordinates):
Pa 0.7500 0.5000 0.5000  4 Pa 2.72-2.88
Pa 0.2500 0.5000 0.5000  4 Pa 2.72-2.88
Ag 0.7687 0.4627 0.0000  3 Ag 2.67-2.73, 2 Tb 2.96
Ag 0.2313 0.5373 0.0000  3 Ag 2.67-2.73, 2 Tb 2.96
Tb 0.6172 0.0000 0.7657  2 Ag 2.96
Tb 0.3828 0.0000 0.2343  2 Ag 2.96


Among the records above, which one has the lowest energy relative to the elements?
TmRu2


Please write out number 3 again, unchanged.
A plane-wave DFT calculation with PBE was carried out for a relaxed structure of TiIr2C.

Values from the calculation:
volume	131	Å³/cell
energy relative to the elements	183	meV per atom

abc: 5.3077 5.3077 5.9708
angles: 63.61 63.61 90.00
With the nearest neighbours (Å) after each atom.
Atoms (fractional coordinates):
C 0.5000 0.5000 0.0000  4 Ir 1.97
C 0.2500 0.7500 0.5000  4 Ir 1.97
Ir 0.5405 0.1250 0.2500  2 C 1.97
Ir 0.2095 0.6250 0.2500  2 C 1.97
Ir 0.3750 0.4595 0.7500  2 C 1.97
Ir 0.8750 0.7905 0.7500  2 C 1.97
Ti 0.0000 0.0000 0.0000  4 Ir 2.50
Ti 0.7500 0.2500 0.5000  4 Ir 2.50


What is the energy relative to the elements in the second record?
-303 meV per atom